[1]
Below is a relaxed ZrSn3Au crystal, with properties calculated at the PBE level.

**Offset from the most stable computed form**: 0 meV/atom
**DFT formation energy**: 0.558 eV/atom

a b c (Å): 5.550 5.550 5.550
angles (deg): 90.00 90.00 90.00
Space group Pm-3m (No. 221)
Symmetry-distinct sites (fractional):
Zr: 0.000 0.000 0.000 [1 per cell]
Sn: 0.000 0.000 0.500 [3 per cell]
Au: 0.500 0.500 0.500 [1 per cell]

=====

[2]
Below is a relaxed Zr6Sn3Au crystal, with properties calculated at the PBE level.

**DFT formation energy**: -0.252 eV/atom

a b c (Å): 10.335 15.731 5.736
angles (deg): 90.00 90.00 90.00
Space group Cmc2_1 (No. 36)
Symmetry-distinct sites (fractional):
Zr: 0.000 0.064 0.000 [4 per cell]
Zr: 0.000 0.272 0.236 [4 per cell]
Zr: 0.185 0.480 0.301 [8 per cell]
Zr: 0.247 0.191 0.021 [8 per cell]
Sn: 0.000 0.393 0.643 [4 per cell]
Sn: 0.150 0.120 0.480 [8 per cell]
Au: 0.000 0.227 0.767 [4 per cell]

=====

[3]
Below is a relaxed Zr6SnAu crystal, with properties calculated at the PBE level.

**DFT formation energy**: -0.377 eV/atom

a b c (Å): 5.576 5.576 5.576
angles (deg): 90.00 90.00 90.00
Space group Pm-3 (No. 200)
Symmetry-distinct sites (fractional):
Zr: 0.000 0.246 0.500 [6 per cell]
Sn: 0.500 0.500 0.500 [1 per cell]
Au: 0.000 0.000 0.000 [1 per cell]

=====

Please write out number 3 again, unchanged.
Below is a relaxed Zr6SnAu crystal, with properties calculated at the PBE level.

**DFT formation energy**: -0.377 eV/atom

a b c (Å): 5.576 5.576 5.576
angles (deg): 90.00 90.00 90.00
Space group Pm-3 (No. 200)
Symmetry-distinct sites (fractional):
Zr: 0.000 0.246 0.500 [6 per cell]
Sn: 0.500 0.500 0.500 [1 per cell]
Au: 0.000 0.000 0.000 [1 per cell]

=====

Q: Among the records above, which one has the highest DFT formation energy?
A: ZrSn3Au